Record 1
A plane-wave DFT calculation with PBE-GGA was carried out for a relaxed ErSc2Fe9 crystal. Values from VASP.

Quantum ESPRESSO input file:
```
&SYSTEM
  ibrav = 0, nat = 12, ntyp = 3
/
ATOMIC_SPECIES
Fe 55.84 Fe.upf
Sc 44.96 Sc.upf
Er 167.26 Er.upf
CELL_PARAMETERS angstrom
4.7470 0.0000 1.4128
2.1633 4.2255 1.4128
0.0827 0.0506 8.4036
ATOMIC_POSITIONS angstrom
Fe 3.4965 2.1380 5.6146
Fe 4.6922 2.8691 10.2787
Fe 5.2766 1.7647 4.0053
Fe 4.1070 2.5113 7.9353
Fe 2.8861 1.7647 3.2938
Fe 1.7164 2.5113 7.2238
Fe 3.0176 0.3834 7.2238
Fe 3.9755 3.8926 4.0053
Fe 2.3009 1.4069 0.9504
Sc 1.0359 0.6334 5.2008
Sc 5.9571 3.6426 6.0283
Er 0.0000 0.0000 0.0000
```

Calculated total energy   -7.9568 eV per atom
Magnetic moment   15.21 Bohr magnetons per cell
V   14.0 Å³ per atom

***

Record 2
A plane-wave DFT calculation with PBE-GGA was carried out for a relaxed GaS2F crystal. Values from VASP.

Quantum ESPRESSO input file:
```
&SYSTEM
  ibrav = 0, nat = 8, ntyp = 3
/
ATOMIC_SPECIES
Ga 69.72 Ga.upf
F 19.00 F.upf
S 32.06 S.upf
CELL_PARAMETERS angstrom
5.8515 0.0000 0.0000
0.0000 5.8515 0.0000
2.9257 2.9257 5.0339
ATOMIC_POSITIONS angstrom
Ga 0.0000 0.0000 0.0000
Ga 5.8515 2.9257 2.5169
F 2.9257 5.8515 2.5169
F 2.9257 2.9257 0.0000
S 4.5775 1.4629 1.2585
S 7.3144 7.5032 3.7754
S 1.2740 4.3886 1.2585
S 4.3886 4.1997 3.7754
```

Energy above the most stable polymorph in this dataset   235 meV per atom
Formation energy from raw total energies   -0.204 eV/atom
Calculated total energy   -3.4921 eV per atom
Magnetic moment   4.00 Bohr magnetons per cell
V   21.5 Å³ per atom